DFT (PBE) results for a relaxed structure of Li6NdB3O9.

Cell lengths 7.367, 16.701, 6.832 Å; angles 90.00, 105.63, 90.00 degrees
Space group P2_1/c (No. 14)
Asymmetric unit:
Li1 0.047 0.030 0.170 [4 per cell]
Li2 0.059 0.703 0.050 [4 per cell]
Li3 0.192 0.534 0.054 [4 per cell]
Li4 0.212 0.206 0.866 [4 per cell]
Li5 0.359 0.051 0.920 [4 per cell]
Li6 0.428 0.003 0.325 [4 per cell]
Nd1 0.420 0.689 0.848 [4 per cell]
B1 0.058 0.613 0.688 [4 per cell]
B2 0.210 0.119 0.498 [4 per cell]
B3 0.418 0.634 0.339 [4 per cell]
O1 0.036 0.086 0.412 [4 per cell]
O2 0.072 0.696 0.723 [4 per cell]
O3 0.104 0.076 0.923 [4 per cell]
O4 0.220 0.567 0.770 [4 per cell]
O5 0.234 0.200 0.552 [4 per cell]
O6 0.346 0.683 0.169 [4 per cell]
O7 0.374 0.072 0.539 [4 per cell]
O8 0.418 0.553 0.324 [4 per cell]
O9 0.500 0.173 0.976 [4 per cell]

## Properties
M_tot   0.000 μB per formula unit
ΔE_f (raw)   -2.467 eV per atom